## A
A plane-wave DFT calculation with GGA+U was carried out for Ba2CoF6 after structural relaxation.

a b c (Å): 5.8626 5.8643 10.0821
angles (deg): 90.00 125.53 90.00
Sites, in units of the cell vectors:
Ba 0.2501 0.9998 0.2500
Ba 0.2501 0.5002 0.7500
Ba 0.7499 0.0002 0.7500
Ba 0.7499 0.4998 0.2500
Co 0.0000 0.0000 0.5000
Co 0.0000 0.5000 0.0000
F 0.2415 0.0002 0.7426
F 0.2407 0.2407 0.5005
F 0.2407 0.2593 0.0005
F 0.2415 0.4998 0.2426
F 0.2484 0.7471 0.0006
F 0.2484 0.7529 0.5006
F 0.7516 0.2471 0.4994
F 0.7516 0.2529 0.9994
F 0.7585 0.9998 0.2574
F 0.7585 0.5002 0.7574
F 0.7593 0.7407 0.9995
F 0.7593 0.7593 0.4995

Computed properties:
Its symmetry is P2_1/c. The calculation puts the calculated volume at 15.67 Å³ per atom. Its density is 5.3 g/cm3.

---

## B
A plane-wave DFT calculation with GGA+U was carried out for Ba2CoF6 after structural relaxation.

a b c (Å): 8.9850 8.9850 8.9850
angles (deg): 153.55 153.55 37.75
Sites, in units of the cell vectors:
Ba 0.1535 0.1535 0.0000
Ba 0.8465 0.8465 0.0000
Co 0.5000 0.5000 0.0000
F 0.0000 0.5000 0.5000
F 0.2500 0.7500 0.5000
F 0.3799 0.3799 0.0000
F 0.5000 0.0000 0.5000
F 0.6201 0.6201 0.0000
F 0.7500 0.2500 0.5000

Computed properties:
Its symmetry is I4/mmm. The calculation puts the calculated volume at 15.96 Å³ per atom. Its density is 5.2 g/cm3.

---

In meV per atom, relative to the most stable structure: A 44; B 0.